# PBE RbHoFe2Cl8, relaxed
data_RbHoFe2Cl8
_symmetry_space_group_name_H-M 'C 1 2/m 1'
_symmetry_Int_Tables_number 12
_cell_length_a 10.7079
_cell_length_b 7.3736
_cell_length_c 9.7891
_cell_angle_alpha 90.00
_cell_angle_beta 94.54
_cell_angle_gamma 90.00
loop_
_symmetry_equiv_pos_as_xyz
'x,y,z'
'-x,-y,-z'
'-x,y,-z'
'x,-y,z'
'x+1/2,y+1/2,z'
'-x+1/2,-y+1/2,-z'
'-x+1/2,y+1/2,-z'
'x+1/2,-y+1/2,z'
loop_
_atom_site_label
_atom_site_type_symbol
_atom_site_fract_x
_atom_site_fract_y
_atom_site_fract_z
Rb1 Rb 0.0000 0.0000 0.0000
Ho1 Ho 0.0000 0.0000 0.5000
Fe1 Fe 0.1249 0.5000 0.2870
Cl1 Cl 0.0073 0.2466 0.6980
Cl2 Cl 0.1963 0.5000 0.0809
Cl3 Cl 0.2464 0.0000 0.5116
# Theoretical density   2.78 Mg/m³
# E_form (uncorrected)   -1.4110 eV per atom
# N(E_F)   1.128 states/eV/atom

---

# PBE HoTlFe2Cl8, relaxed
data_HoTlFe2Cl8
_symmetry_space_group_name_H-M 'R -3'
_symmetry_Int_Tables_number 148
_symmetry_space_group_name_Hall '-R 3'
_cell_length_a 6.4689
_cell_length_b 6.4689
_cell_length_c 28.7140
_cell_angle_alpha 90.00
_cell_angle_beta 90.00
_cell_angle_gamma 120.00
loop_
_atom_site_label
_atom_site_type_symbol
_atom_site_fract_x
_atom_site_fract_y
_atom_site_fract_z
Ho1 Ho 0.0000 0.0000 0.0000
Tl1 Tl 0.0000 0.0000 0.5000
Fe1 Fe 0.0000 0.0000 0.2525
Cl1 Cl 0.0000 0.0000 0.1753
Cl2 Cl 0.0007 0.3399 0.2791
# Theoretical density   3.66 Mg/m³
# E_form (uncorrected)   -1.2310 eV per atom
# N(E_F)   1.072 states/eV/atom

---

# PBE Fe3ICl12, relaxed
data_Fe3ICl12
_symmetry_space_group_name_H-M 'R 3 c'
_symmetry_Int_Tables_number 161
_symmetry_space_group_name_Hall 'R 3 -2"c'
_cell_length_a 12.6166
_cell_length_b 12.6166
_cell_length_c 28.7002
_cell_angle_alpha 90.00
_cell_angle_beta 90.00
_cell_angle_gamma 120.00
loop_
_atom_site_label
_atom_site_type_symbol
_atom_site_fract_x
_atom_site_fract_y
_atom_site_fract_z
Fe1 Fe 0.0181 0.3840 0.0000
I1 I 0.0000 0.0000 0.4529
Cl1 Cl 0.0190 0.1981 0.3915
Cl2 Cl 0.0219 0.2247 0.2693
Cl3 Cl 0.1364 0.4479 0.6770
Cl4 Cl 0.1896 0.0631 0.6696
# Theoretical density   1.81 Mg/m³
# E_form (uncorrected)   -0.5179 eV per atom
# N(E_F)   0.559 states/eV/atom

---

# PBE FeICl4, relaxed
data_FeICl4
_symmetry_space_group_name_H-M 'C 1 2/c 1'
_symmetry_Int_Tables_number 15
_cell_length_a 7.6178
_cell_length_b 12.9276
_cell_length_c 11.4684
_cell_angle_alpha 90.00
_cell_angle_beta 97.25
_cell_angle_gamma 90.00
loop_
_symmetry_equiv_pos_as_xyz
'x,y,z'
'-x,-y,-z'
'-x,y,-z+1/2'
'x,-y,z+1/2'
'x+1/2,y+1/2,z'
'-x+1/2,-y+1/2,-z'
'-x+1/2,y+1/2,-z+1/2'
'x+1/2,-y+1/2,z+1/2'
loop_
_atom_site_label
_atom_site_type_symbol
_atom_site_fract_x
_atom_site_fract_y
_atom_site_fract_z
Fe1 Fe 0.0000 0.2314 0.2500
I1 I 0.0000 0.3771 0.7500
Cl1 Cl 0.1104 0.3202 0.1190
Cl2 Cl 0.2111 0.1227 0.3454
# Theoretical density   1.92 Mg/m³
# E_form (uncorrected)   -0.5266 eV per atom

---

# PBE FeICl3, relaxed
data_FeICl3
_symmetry_space_group_name_H-M 'P 1'
_symmetry_Int_Tables_number 1
_cell_length_a 5.9500
_cell_length_b 6.7841
_cell_length_c 8.1758
_cell_angle_alpha 79.94
_cell_angle_beta 89.94
_cell_angle_gamma 89.91
loop_
_symmetry_equiv_pos_as_xyz
'x,y,z'
loop_
_atom_site_label
_atom_site_type_symbol
_atom_site_fract_x
_atom_site_fract_y
_atom_site_fract_z
Fe1 Fe 0.0000 0.0000 0.0000
Fe2 Fe 0.4992 0.0750 0.3731
I1 I 0.3834 0.7245 0.5086
I2 I 0.8836 0.3507 0.8643
Cl1 Cl 0.2268 0.7473 0.0412
Cl2 Cl 0.2511 0.1780 0.1436
Cl3 Cl 0.2982 0.1975 0.5537
Cl4 Cl 0.7254 0.3275 0.3316
Cl5 Cl 0.7515 0.8969 0.2292
Cl6 Cl 0.7999 0.8781 0.8191
# Theoretical density   2.95 Mg/m³
# ΔE to the lowest computed polymorph   53 meV/atom
# E_form (uncorrected)   -0.4089 eV per atom
# N(E_F)   0.059 states/eV/atom

---

# PBE FeICl, relaxed
data_FeICl
_symmetry_space_group_name_H-M 'P n m a'
_symmetry_Int_Tables_number 62
_cell_length_a 6.8359
_cell_length_b 4.0368
_cell_length_c 14.6655
_cell_angle_alpha 90.00
_cell_angle_beta 90.00
_cell_angle_gamma 90.00
loop_
_symmetry_equiv_pos_as_xyz
'x,y,z'
'-x,-y,-z'
'-x+1/2,-y,z+1/2'
'x+1/2,y,-z+1/2'
'x+1/2,-y+1/2,-z+1/2'
'-x+1/2,y+1/2,z+1/2'
'-x,y+1/2,-z'
'x,-y+1/2,z'
loop_
_atom_site_label
_atom_site_type_symbol
_atom_site_fract_x
_atom_site_fract_y
_atom_site_fract_z
Fe1 Fe 0.0457 0.2500 0.0617
I1 I 0.1957 0.2500 0.8935
Cl1 Cl 0.2013 0.7500 0.6508
# Theoretical density   3.58 Mg/m³
# ΔE to the lowest computed polymorph   0 meV/atom
# E_form (uncorrected)   -0.3762 eV per atom
# N(E_F)   0.223 states/eV/atom